(1)
Here is crystalline Cs4SrPb3F12 at its relaxed geometry from Alexandria via LeMat-Bulk. Energies are from PBE.

It has space group Im-3m (No. 229), with a = 9.762 Å, b = 9.762 Å, c = 9.762 Å, α = 90.00°, β = 90.00° and γ = 90.00°. The inequivalent atoms are Cs at (0.250, 0.250, 0.250), Sr at (0.000, 0.000, 0.000), Pb at (0.000, 0.000, 0.500), F at (0.000, 0.000, 0.248) and F at (0.000, 0.250, 0.500).



(2)
Here is crystalline SrSm2DySe4 at its relaxed geometry from Alexandria via LeMat-Bulk. Energies are from PBE.

It has space group P2/m (No. 10), with a = 7.281 Å, b = 4.177 Å, c = 7.303 Å, α = 90.00°, β = 109.04° and γ = 90.00°. The inequivalent atoms are Sr at (0.000, 0.000, 0.000), Sm at (0.000, 0.500, 0.500), Sm at (0.500, 0.000, 0.500), Dy at (0.500, 0.500, 0.000), Se at (0.259, 0.000, 0.754) and Se at (0.260, 0.500, 0.253).



(3)
Here is crystalline Na2Re2O7 at its relaxed geometry from Alexandria via LeMat-Bulk. Energies are from PBE.

It has space group C2/m (No. 12), with a = 6.410 Å, b = 10.116 Å, c = 5.561 Å, α = 90.00°, β = 101.56° and γ = 90.00°. The inequivalent atoms are Na at (0.000, 0.182, 0.000), Re at (0.247, 0.000, 0.622), O at (0.000, 0.500, 0.500), O at (0.062, 0.000, 0.304) and O at (0.214, 0.346, 0.227).



(4)
Here is crystalline Cs2SrZn3F12 at its relaxed geometry from Alexandria via LeMat-Bulk. Energies are from PBE.

It has space group R-3m (No. 166, hexagonal axes), with a = 7.6972 Å, b = 7.6972 Å, c = 18.0533 Å, α = 90.00°, β = 90.00° and γ = 120.00°. The inequivalent atoms are Cs at (0.0000, 0.0000, 0.1123), Sr at (0.0000, 0.0000, 0.5000), Zn at (0.0000, 0.5000, 0.0000), F at (0.0027, 0.5014, 0.8921) and F at (0.0800, 0.5400, 0.3266).



Across the entries above, E_form (uncorrected) takes the values -2.758 -1.828 -1.695 -2.480 eV per atom, respectively.
Across the entries above, E takes the values -4.6921 -5.5358 -7.3530 -4.1278 eV/atom, respectively.
Across the entries above, size of the total moment takes the values 0.00 0.00 0.00 2.08 μB/f.u., respectively.